(1)
# SrInAu4 (GGA-PBEsol, optimized geometry)
data_SrInAu4
_chemical_formula_sum 'Sr4 In4 Au16'
_cell_length_a 7.901
_cell_length_b 7.901
_cell_length_c 7.901
_cell_angle_alpha 90.00
_cell_angle_beta 90.00
_cell_angle_gamma 90.00
_space_group_name_H-M_alt 'F -4 3 m'
_space_group_IT_number 216
_space_group_name_Hall 'F -4 2 3'
loop_
_atom_site_label
_atom_site_fract_x
_atom_site_fract_y
_atom_site_fract_z
Sr1 0.000 0.000 0.000
In1 0.250 0.250 0.750
Au1 0.125 0.125 0.375
# - energy of formation (meV/atom) = -419.6
# - crystal system = cubic
# - E_tot (eV per cell) = -92.15

(2)
# SrIn2Au2 (GGA-PBEsol, optimized geometry)
data_SrIn2Au2
_chemical_formula_sum 'Sr4 In8 Au8'
_cell_length_a 8.530
_cell_length_b 4.592
_cell_length_c 12.276
_cell_angle_alpha 90.00
_cell_angle_beta 90.00
_cell_angle_gamma 90.00
_space_group_name_H-M_alt 'P n m a'
_space_group_IT_number 62
_space_group_name_Hall '-P 2ac 2n'
loop_
_atom_site_label
_atom_site_fract_x
_atom_site_fract_y
_atom_site_fract_z
Sr1 0.210 0.250 0.168
In1 0.095 0.250 0.448
In2 0.153 0.250 0.860
Au1 0.011 0.750 0.330
Au2 0.093 0.750 0.984
# - energy of formation (meV/atom) = -560.9
# - crystal system = orthorhombic
# - E_tot (eV per cell) = -73.84